Entry 1:
This record from Alexandria via LeMat-Bulk describes Y2TaZn at its PBEsol-relaxed geometry. The functional is SCAN.

Values from the calculation:
**Calculated volume**: 22.28 Å³ per atom
**Uncorrected energy**: -271.044 eV per cell
**DOS(E_F)**: 4.4 states/eV per cell
**Formation enthalpy at 0 K**: 0.0656 eV/atom
**M_tot**: 0.0000 μB/atom

a = 11.218 Å, b = 3.217 Å, c = 5.297 Å
α = 90.00°, β = 111.20°, γ = 90.00°
Space group Cm (No. 8)
Inequivalent atoms, fractional coordinates:
Y 0.000 0.000 0.000 [2 per cell]
Y 0.201 0.000 0.632 [2 per cell]
Ta 0.434 0.000 0.457 [2 per cell]
Zn 0.246 0.500 0.152 [2 per cell]

Entry 2:
This record from Alexandria via LeMat-Bulk describes YTa3Zn at its PBEsol-relaxed geometry. The functional is SCAN.

Values from the calculation:
**Calculated volume**: 21.64 Å³ per atom
**Uncorrected energy**: -235.481 eV per cell
**DOS(E_F)**: 6.9 states/eV per cell
**Formation enthalpy at 0 K**: 1.1253 eV/atom
**M_tot**: 0.0000 μB/atom

a = 4.765 Å, b = 4.765 Å, c = 4.765 Å
α = 90.00°, β = 90.00°, γ = 90.00°
Space group Pm-3m (No. 221)
Inequivalent atoms, fractional coordinates:
Y 0.000 0.000 0.000 [1 per cell]
Ta 0.000 0.500 0.500 [3 per cell]
Zn 0.500 0.500 0.500 [1 per cell]